Here is a relaxed structure of Pm4Sm3Er from Alexandria via LeMat-Bulk. Energies are from PBE.

Properties
Symmetry: Pmn2_1 (31)
Total energy, eV/atom: -4.69
Calculated formation energy, eV per atom: 0.029

Cell: 6.3465 7.3460 11.6727 Å, 90.00 90.00 90.00°
Closest atoms and distances in Å follow each position.
Element x y z (fractional)
Pm  0.1500  0.8746  0.0000  6 Pm 3.60-3.69, 4 Sm 3.61-3.68, 2 Er 3.66-3.69
Sm  0.4807  0.3763  0.2501  2 Er 3.59-3.61, 4 Sm 3.60-3.66, 6 Pm 3.61-3.69
Pm  0.9815  0.1266  0.7524  1 Er 3.58, 6 Pm 3.59-3.68, 5 Sm 3.62-3.69
Pm  0.6500  0.1254  0.5000  6 Pm 3.60-3.69, 4 Sm 3.61-3.68, 2 Er 3.66-3.69
Er  0.6470  0.6232  0.5000  6 Pm 3.58-3.69, 6 Sm 3.59-3.66
Pm  0.6458  0.1255  0.0000  6 Pm 3.59-3.69, 4 Sm 3.61-3.68, 2 Er 3.66-3.68
Sm  0.6479  0.6249  0.0000  4 Sm 3.60, 6 Pm 3.62-3.68, 2 Er 3.65-3.66
Sm  0.9807  0.6237  0.2499  2 Er 3.59-3.61, 4 Sm 3.60-3.66, 6 Pm 3.61-3.69
Sm  0.9807  0.6237  0.7501  2 Er 3.59-3.61, 4 Sm 3.60-3.66, 6 Pm 3.61-3.69
Er  0.1470  0.3768  0.0000  6 Pm 3.58-3.69, 6 Sm 3.59-3.66
Sm  0.1479  0.3751  0.5000  4 Sm 3.60, 6 Pm 3.62-3.68, 2 Er 3.65-3.66
Pm  0.4815  0.8734  0.7476  1 Er 3.58, 6 Pm 3.59-3.68, 5 Sm 3.62-3.69
Pm  0.4815  0.8734  0.2524  1 Er 3.58, 6 Pm 3.59-3.68, 5 Sm 3.62-3.69
Pm  0.9815  0.1266  0.2476  1 Er 3.58, 6 Pm 3.59-3.68, 5 Sm 3.62-3.69
Sm  0.4807  0.3763  0.7499  2 Er 3.59-3.61, 4 Sm 3.60-3.66, 6 Pm 3.61-3.69
Pm  0.1458  0.8745  0.5000  6 Pm 3.59-3.69, 4 Sm 3.61-3.68, 2 Er 3.66-3.68

Here is a relaxed structure of PmSm6Er3 from Alexandria via LeMat-Bulk. Energies are from PBE.

Properties
Symmetry: Cmc2_1 (36)
Total energy, eV/atom: -4.55
Calculated formation energy, eV per atom: 0.128

Cell: 6.4304 11.6838 11.6838 Å, 130.70 90.00 90.00°
Closest atoms and distances in Å follow each position.
Element x y z (fractional)
Sm  0.2964  0.6990  0.3010  1 Er 3.16, 1 Pm 3.31, 2 Sm 3.49
Er  0.5968  0.5814  0.4186  3 Sm 3.16-3.46, 2 Er 3.44
Sm  0.3052  0.9847  0.0153  2 Sm 3.28, 1 Pm 3.32, 4 Er 3.53-3.62
Sm  0.5755  0.6203  0.7380  3 Er 3.35-3.57, 3 Sm 3.49-3.73
Er  0.4862  0.2949  0.0425  2 Er 3.29-3.44, 5 Sm 3.32-3.62, 1 Pm 3.55
Er  0.9862  0.7051  0.9575  2 Er 3.29-3.44, 5 Sm 3.32-3.62, 1 Pm 3.55
Sm  0.0755  0.7380  0.6203  3 Er 3.35-3.57, 3 Sm 3.49-3.73
Sm  0.5755  0.2620  0.3797  3 Er 3.35-3.57, 3 Sm 3.49-3.73
Sm  0.3275  0.1065  0.5441  3 Er 3.32-3.69, 3 Sm 3.40-3.62, 1 Pm 3.61
Sm  0.8275  0.5441  0.1065  3 Er 3.32-3.69, 3 Sm 3.40-3.62, 1 Pm 3.61
Sm  0.3275  0.4559  0.8935  3 Er 3.32-3.69, 3 Sm 3.40-3.62, 1 Pm 3.61
Sm  0.7964  0.3010  0.6990  1 Er 3.16, 1 Pm 3.31, 2 Sm 3.49
Sm  0.8052  0.0153  0.9847  2 Sm 3.28, 1 Pm 3.32, 4 Er 3.53-3.62
Er  0.0968  0.4186  0.5814  3 Sm 3.16-3.46, 2 Er 3.44
Pm  0.5084  0.8410  0.1590  4 Sm 3.31-3.61, 2 Er 3.55
Sm  0.8275  0.8935  0.4559  3 Er 3.32-3.69, 3 Sm 3.40-3.62, 1 Pm 3.61
Sm  0.0755  0.3797  0.2620  3 Er 3.35-3.57, 3 Sm 3.49-3.73
Er  0.9862  0.0425  0.2949  2 Er 3.29-3.44, 5 Sm 3.32-3.62, 1 Pm 3.55
Er  0.4862  0.9575  0.7051  2 Er 3.29-3.44, 5 Sm 3.32-3.62, 1 Pm 3.55
Pm  0.0084  0.1590  0.8410  4 Sm 3.31-3.61, 2 Er 3.55

Here is a relaxed structure of Pm3Sm6Er2 from Alexandria via LeMat-Bulk. Energies are from PBE.

Properties
Symmetry: I4/mmm (139)
Total energy, eV/atom: -4.42
Calculated formation energy, eV per atom: 0.277

Cell: 4.8013 4.8013 17.1016 Å, 98.07 98.07 90.00°
Closest atoms and distances in Å follow each position.
Element x y z (fractional)
Sm  0.1197  0.6197  0.2393  6 Sm 3.40-3.53, 2 Er 3.45, 2 Pm 3.62
Sm  0.6968  0.6968  0.3935  5 Pm 3.40-3.44, 4 Sm 3.53
Sm  0.3803  0.8803  0.7607  6 Sm 3.40-3.53, 2 Er 3.45, 2 Pm 3.62
Pm  0.2005  0.2005  0.4011  9 Sm 3.40-3.62
Pm  0.7995  0.7995  0.5989  9 Sm 3.40-3.62
Sm  0.8803  0.3803  0.7607  6 Sm 3.40-3.53, 2 Er 3.45, 2 Pm 3.62
Sm  0.6197  0.1197  0.2393  6 Sm 3.40-3.53, 2 Er 3.45, 2 Pm 3.62
Er  0.4544  0.4544  0.9089  1 Er 3.05
Sm  0.3032  0.3032  0.6065  5 Pm 3.40-3.44, 4 Sm 3.53
Pm  0.0000  0.0000  0.0000  8 Er 3.72
Er  0.5456  0.5456  0.0911  1 Er 3.05

Here is a relaxed structure of Pm4Sm3Er4 from Alexandria via LeMat-Bulk. Energies are from PBE.

Properties
Symmetry: Immm (71)
Total energy, eV/atom: -4.51
Calculated formation energy, eV per atom: 0.167

Cell: 3.5483 11.3249 10.9770 Å, 121.05 99.30 90.00°
Closest atoms and distances in Å follow each position.
Element x y z (fractional)
Er  0.3272  0.0782  0.6544  4 Pm 3.22-3.55, 4 Er 3.36-3.55, 2 Sm 3.55
Sm  0.8901  0.8901  0.7802  4 Er 3.55, 2 Sm 3.55, 6 Pm 3.61-3.74
Pm  0.5000  0.2125  0.0000  2 Er 3.22, 2 Pm 3.55
Pm  0.7879  0.2879  0.5759  6 Er 3.41-3.55, 2 Pm 3.55, 2 Sm 3.74
Pm  0.5000  0.7875  0.0000  2 Er 3.22, 2 Pm 3.55
Er  0.6728  0.4238  0.3456  4 Pm 3.22-3.55, 4 Er 3.36-3.55, 2 Sm 3.55
Er  0.6728  0.9218  0.3456  4 Pm 3.22-3.55, 4 Er 3.36-3.55, 2 Sm 3.55
Pm  0.2121  0.7121  0.4241  6 Er 3.41-3.55, 2 Pm 3.55, 2 Sm 3.74
Sm  0.1099  0.1099  0.2198  4 Er 3.55, 2 Sm 3.55, 6 Pm 3.61-3.74
Sm  0.0000  0.5000  0.0000  2 Sm 3.55, 6 Pm 3.71-3.92
Er  0.3272  0.5762  0.6544  4 Pm 3.22-3.55, 4 Er 3.36-3.55, 2 Sm 3.55

Here is a relaxed structure of Pm7SmEr3 from Alexandria via LeMat-Bulk. Energies are from PBE.

Properties
Symmetry: C2/c (15)
Total energy, eV/atom: -4.52
Calculated formation energy, eV per atom: 0.178

Cell: 10.2095 10.2097 12.4793 Å, 113.94 66.06 138.62°
Closest atoms and distances in Å follow each position.
Element x y z (fractional)
Er  0.0000  0.0000  0.0000  8 Pm 3.48-3.66, 2 Sm 3.61
Pm  0.1673  0.8452  0.2247  4 Er 3.48-3.64, 7 Pm 3.54-3.64
Pm  0.4194  0.0829  0.9703  6 Pm 3.51-3.64, 4 Er 3.52-3.65, 1 Sm 3.56
Pm  0.0836  0.4200  0.0301  4 Er 3.50-3.63, 7 Pm 3.52-3.64, 1 Sm 3.55
Sm  0.5000  0.5000  0.0000  6 Pm 3.55-3.56, 4 Er 3.55-3.61
Pm  0.4200  0.0836  0.4699  4 Er 3.50-3.63, 7 Pm 3.52-3.64, 1 Sm 3.55
Pm  0.7358  0.7358  0.2500  4 Er 3.52-3.66, 4 Pm 3.54-3.58, 2 Sm 3.55
Pm  0.2642  0.2642  0.7500  4 Er 3.52-3.66, 4 Pm 3.54-3.58, 2 Sm 3.55
Er  0.6658  0.3287  0.7235  10 Pm 3.50-3.65, 1 Sm 3.55
Er  0.3342  0.6713  0.2765  10 Pm 3.50-3.65, 1 Sm 3.55
Pm  0.5806  0.9171  0.0297  6 Pm 3.51-3.64, 4 Er 3.52-3.65, 1 Sm 3.56
Pm  0.9171  0.5805  0.4703  6 Pm 3.51-3.64, 4 Er 3.52-3.65, 1 Sm 3.56
Er  0.6713  0.3342  0.2235  10 Pm 3.50-3.65, 1 Sm 3.55
Pm  0.0829  0.4195  0.5297  6 Pm 3.51-3.64, 4 Er 3.52-3.65, 1 Sm 3.56
Sm  0.5000  0.5000  0.5000  6 Pm 3.55-3.56, 4 Er 3.55-3.61
Pm  0.5800  0.9164  0.5301  4 Er 3.50-3.63, 7 Pm 3.52-3.64, 1 Sm 3.55
Er  0.0000  0.0000  0.5000  8 Pm 3.48-3.66, 2 Sm 3.61
Er  0.3287  0.6658  0.7765  10 Pm 3.50-3.65, 1 Sm 3.55
Pm  0.8327  0.1548  0.7753  4 Er 3.48-3.64, 7 Pm 3.54-3.64
Pm  0.1547  0.8326  0.7247  4 Er 3.48-3.64, 7 Pm 3.54-3.64
Pm  0.9164  0.5800  0.9699  4 Er 3.50-3.63, 7 Pm 3.52-3.64, 1 Sm 3.55
Pm  0.8453  0.1674  0.2753  4 Er 3.48-3.64, 7 Pm 3.54-3.64

Here is a relaxed structure of PmSm4Er7 from Alexandria via LeMat-Bulk. Energies are from PBE.

Properties
Symmetry: P-1 (2)
Total energy, eV/atom: -4.54
Calculated formation energy, eV per atom: 0.086

Cell: 6.8178 6.5477 11.8073 Å, 74.92 49.49 81.21°
Closest atoms and distances in Å follow each position.
Element x y z (fractional)
Sm  0.3038  0.1660  0.3102  8 Er 3.41-3.80, 2 Sm 3.50-3.55
Sm  0.4812  0.3618  0.7124  8 Er 3.31-3.68, 1 Pm 3.41, 2 Sm 3.50-3.55
Sm  0.5188  0.6382  0.2876  8 Er 3.31-3.68, 1 Pm 3.41, 2 Sm 3.50-3.55
Sm  0.6962  0.8340  0.6898  8 Er 3.41-3.80, 2 Sm 3.50-3.55
Er  0.5000  0.0000  0.0000  2 Pm 3.41, 4 Sm 3.41-3.67, 4 Er 3.47-3.69
Er  0.7995  0.5147  0.9507  5 Er 3.36-3.57, 4 Sm 3.38-3.68, 1 Pm 3.49
Pm  0.0000  0.0000  0.0000  4 Er 3.41-3.49, 2 Sm 3.41
Er  0.0587  0.3189  0.6434  5 Er 3.37-3.69, 4 Sm 3.44-3.53
Er  0.7207  0.1875  0.3847  5 Er 3.26-3.62, 4 Sm 3.31-3.53
Er  0.2005  0.4853  0.0493  5 Er 3.36-3.57, 4 Sm 3.38-3.68, 1 Pm 3.49
Er  0.2793  0.8125  0.6153  5 Er 3.26-3.62, 4 Sm 3.31-3.53
Er  0.9413  0.6811  0.3566  5 Er 3.37-3.69, 4 Sm 3.44-3.53

Here is a relaxed structure of Pm8Sm3Er3 from Alexandria via LeMat-Bulk. Energies are from PBE.

Properties
Symmetry: Immm (71)
Total energy, eV/atom: -4.60
Calculated formation energy, eV per atom: 0.102

Cell: 5.7069 9.7762 9.7762 Å, 101.95 73.05 73.05°
Closest atoms and distances in Å follow each position.
Element x y z (fractional)
Pm  0.8385  0.5585  0.7650  4 Pm 3.14-3.38
Pm  0.3414  0.4364  0.8811  6 Pm 3.29-3.58, 2 Sm 3.65
Sm  0.0000  0.1799  0.8201  2 Er 3.50, 8 Pm 3.65-3.78
Pm  0.1615  0.4415  0.2350  4 Pm 3.14-3.38
Er  0.5000  0.5000  0.5000  2 Er 3.26
Sm  0.5000  0.0000  0.0000  4 Er 3.60, 4 Sm 3.95, 4 Pm 4.01
Er  0.2011  0.7991  0.7991  1 Er 3.26, 4 Sm 3.50-3.60, 4 Pm 3.58-3.59
Pm  0.6586  0.1189  0.5636  6 Pm 3.29-3.58, 2 Sm 3.65
Pm  0.6586  0.5636  0.1189  6 Pm 3.29-3.58, 2 Sm 3.65
Pm  0.1615  0.2350  0.4415  4 Pm 3.14-3.38
Pm  0.3414  0.8811  0.4364  6 Pm 3.29-3.58, 2 Sm 3.65
Pm  0.8385  0.7650  0.5585  4 Pm 3.14-3.38
Sm  0.0000  0.8201  0.1799  2 Er 3.50, 8 Pm 3.65-3.78
Er  0.7989  0.2009  0.2009  1 Er 3.26, 4 Sm 3.50-3.60, 4 Pm 3.58-3.59

Here is a relaxed structure of PmSmEr2 from Alexandria via LeMat-Bulk. Energies are from PBE.

Properties
Symmetry: P2/c (13)
Total energy, eV/atom: -4.44
Calculated formation energy, eV per atom: 0.206

Cell: 6.9320 6.9533 13.1172 Å, 122.03 90.02 90.00°
Closest atoms and distances in Å follow each position.
Element x y z (fractional)
Er  0.8762  0.0122  0.3880  3 Sm 3.46-3.52, 4 Pm 3.47-3.51, 3 Er 3.48-3.52
Er  0.1236  0.5122  0.8880  3 Sm 3.46-3.52, 4 Pm 3.47-3.51, 3 Er 3.48-3.52
Sm  0.3765  0.0109  0.3861  7 Er 3.46-3.52, 2 Sm 3.49-3.52, 1 Pm 3.53
Sm  0.6235  0.9891  0.6139  7 Er 3.46-3.52, 2 Sm 3.49-3.52, 1 Pm 3.53
Sm  0.6234  0.5109  0.8861  7 Er 3.46-3.52, 2 Sm 3.49-3.52, 1 Pm 3.53
Pm  0.8743  0.5115  0.3862  7 Er 3.46-3.51, 2 Pm 3.49-3.53, 1 Sm 3.53
Er  0.6254  0.0122  0.8879  3 Pm 3.46-3.51, 4 Sm 3.47-3.51, 3 Er 3.50-3.52
Er  0.1238  0.9878  0.6120  3 Sm 3.46-3.52, 4 Pm 3.47-3.51, 3 Er 3.48-3.52
Er  0.3746  0.9878  0.1121  3 Pm 3.46-3.51, 4 Sm 3.47-3.51, 3 Er 3.50-3.52
Er  0.3745  0.5122  0.3879  3 Pm 3.46-3.51, 4 Sm 3.47-3.51, 3 Er 3.50-3.52
Pm  0.8744  0.9885  0.1138  7 Er 3.46-3.51, 2 Pm 3.49-3.53, 1 Sm 3.53
Sm  0.3766  0.4891  0.1139  7 Er 3.46-3.52, 2 Sm 3.49-3.52, 1 Pm 3.53
Er  0.8764  0.4878  0.1120  3 Sm 3.46-3.52, 4 Pm 3.47-3.51, 3 Er 3.48-3.52
Pm  0.1256  0.0115  0.8862  7 Er 3.46-3.51, 2 Pm 3.49-3.53, 1 Sm 3.53
Er  0.6255  0.4878  0.6121  3 Pm 3.46-3.51, 4 Sm 3.47-3.51, 3 Er 3.50-3.52
Pm  0.1257  0.4885  0.6138  7 Er 3.46-3.51, 2 Pm 3.49-3.53, 1 Sm 3.53